1.
VASP calculation (SCAN) on a PBEsol-optimized structure of FeNiRu2.

a b c (Å): 2.577 4.419 4.419
angles (deg): 108.27 90.00 90.00
Site moments in Bohr magnetons follow the coordinates.
Fractional positions:
Fe: 0.500 0.000 0.000  2.64
Ni: 0.500 0.500 0.500  0.11
Ru: 0.000 0.500 0.000  -0.07
Ru: 0.000 0.000 0.500  -0.07

Raw total energy in eV per atom: -25.821
Size of the total moment in μB per cell: 2.5
Space-group type: Cmmm, No. 65
Energy of formation from the pure elements in kJ/mol of formula units: 65

2.
VASP calculation (SCAN) on a PBEsol-optimized structure of ZrFeSi.

a b c (Å): 3.970 6.403 6.806
angles (deg): 90.00 90.00 90.00
Fractional positions:
Si: 0.250 0.794 0.394
Si: 0.250 0.294 0.106
Si: 0.750 0.706 0.894
Si: 0.750 0.206 0.606
Fe: 0.250 0.154 0.436
Fe: 0.250 0.654 0.064
Fe: 0.750 0.346 0.936
Fe: 0.750 0.846 0.564
Zr: 0.750 0.512 0.304
Zr: 0.750 0.012 0.196
Zr: 0.250 0.988 0.804
Zr: 0.250 0.488 0.696

Raw total energy in eV per atom: -20.315
Size of the total moment in μB per cell: 0.0
Uncorrected formation energy in meV per atom: -700.0
Space-group type: Pnma, No. 62

3.
VASP calculation (SCAN) on a PBEsol-optimized structure of KSrBr2.

a b c (Å): 3.791 5.693 5.693
angles (deg): 90.00 90.00 90.00
Fractional positions:
Br: 0.000 0.000 0.500
Br: 0.000 0.500 0.000
K: 0.500 0.500 0.500
Sr: 0.500 0.000 0.000

Raw total energy in eV per atom: -18.916
Size of the total moment in μB per cell: 0.0
Uncorrected formation energy in meV per atom: -1535.0
Space-group type: P4/mmm, No. 123
Distance to the lowest polymorph of the same formula in eV per formula unit: 0.367

4.
VASP calculation (SCAN) on a PBEsol-optimized structure of Y2AsP.

a b c (Å): 4.922 4.922 4.922
angles (deg): 60.00 60.00 60.00
Fractional positions:
As: 0.500 0.500 0.500
P: 0.000 0.000 0.000
Y: 0.250 0.250 0.250
Y: 0.750 0.750 0.750

Raw total energy in eV per atom: -22.779
Size of the total moment in μB per cell: 0.0
Space-group type: Fm-3m, No. 225
Energy of formation from the pure elements in kJ/mol of formula units: -467

5.
VASP calculation (SCAN) on a PBEsol-optimized structure of Nd2CuO4.

a b c (Å): 5.168 5.479 6.839
angles (deg): 90.00 112.20 90.00
Fractional positions:
Nd: 0.362 0.017 0.724
Nd: 0.638 0.983 0.276
Nd: 0.138 0.517 0.276
Nd: 0.862 0.483 0.724
Cu: 0.000 0.000 0.000
Cu: 0.500 0.500 0.000
O: 0.264 0.250 0.029
O: 0.236 0.750 0.971
O: 0.736 0.750 0.971
O: 0.764 0.250 0.029
O: 0.185 0.934 0.371
O: 0.815 0.066 0.629
O: 0.685 0.566 0.371
O: 0.315 0.434 0.629

Raw total energy in eV per atom: -21.000
Size of the total moment in μB per cell: 0.0
Uncorrected formation energy in meV per atom: -2816.1
Space-group type: Cmce, No. 64
Distance to the lowest polymorph of the same formula in eV per formula unit: 0.434

6.
VASP calculation (SCAN) on a PBEsol-optimized structure of CsNbSn2Cl.

a b c (Å): 5.049 6.060 6.060
angles (deg): 90.00 90.00 90.00
Site moments in Bohr magnetons follow the coordinates.
Fractional positions:
Cs: 0.000 0.000 0.000  0.04
Nb: 0.500 0.000 0.000  2.03
Sn: 0.000 0.000 0.500  -0.23
Sn: 0.000 0.500 0.000  -0.23
Cl: 0.500 0.500 0.500  -0.06

Raw total energy in eV per atom: -28.162
Size of the total moment in μB per cell: 1.5
Uncorrected formation energy in meV per atom: 1990.2
Space-group type: P4/mmm, No. 123

7.
VASP calculation (SCAN) on a PBEsol-optimized structure of TaSiP2S.

a b c (Å): 4.638 4.802 4.802
angles (deg): 90.00 90.00 90.00
Fractional positions:
P: 0.000 0.000 0.500
P: 0.000 0.500 0.000
S: 0.500 0.000 0.000
Si: 0.500 0.500 0.500
Ta: 0.000 0.000 0.000

Raw total energy in eV per atom: -20.829
Size of the total moment in μB per cell: 0.0
Uncorrected formation energy in meV per atom: 576.3
Space-group type: P4/mmm, No. 123

8.
VASP calculation (SCAN) on a PBEsol-optimized structure of Be3NiO.

a b c (Å): 3.887 3.887 3.887
angles (deg): 90.00 90.00 90.00
Fractional positions:
Ni: 0.000 0.000 0.000
O: 0.500 0.500 0.500
Be: 0.000 0.500 0.000
Be: 0.000 0.000 0.500
Be: 0.500 0.000 0.000

Raw total energy in eV per atom: -6.280
Size of the total moment in μB per cell: 0.0
Uncorrected formation energy in meV per atom: 813.5
Space-group type: Pm-3m, No. 221

9.
VASP calculation (SCAN) on a PBEsol-optimized structure of Ta2CoIr.

a b c (Å): 2.819 2.819 8.841
angles (deg): 80.83 80.83 60.00
Site moments in Bohr magnetons follow the coordinates.
Fractional positions:
Co: 0.500 0.500 0.500  1.57
Ir: 0.000 0.000 0.000  0.08
Ta: 0.246 0.246 0.262  0.10
Ta: 0.754 0.754 0.738  0.10

Raw total energy in eV per atom: -55.404
Size of the total moment in μB per cell: 1.9
Space-group type: R-3m, No. 166
Energy of formation from the pure elements in kJ/mol of formula units: -4

10.
VASP calculation (SCAN) on a PBEsol-optimized structure of Al2FeH.

a b c (Å): 4.834 4.834 4.834
angles (deg): 104.94 104.94 118.97
Site moments in Bohr magnetons follow the coordinates.
Fractional positions:
H: 0.500 0.500 0.000  0.01
H: 0.750 0.250 0.500  0.01
Fe: 0.000 0.000 0.000  1.87
Fe: 0.250 0.750 0.500  1.87
Al: 0.625 0.549 0.424  -0.04
Al: 0.125 0.201 0.576  -0.04
Al: 0.799 0.375 0.924  -0.04
Al: 0.451 0.875 0.076  -0.04

Raw total energy in eV per atom: -9.108
Size of the total moment in μB per cell: 3.2
Space-group type: I-42d, No. 122

11.
VASP calculation (SCAN) on a PBEsol-optimized structure of Cs2TlHg2.

a b c (Å): 5.822 8.138 8.138
angles (deg): 90.00 90.00 90.00
Fractional positions:
Cs: 0.500 0.176 0.676
Cs: 0.500 0.676 0.824
Cs: 0.500 0.824 0.324
Cs: 0.500 0.324 0.176
Tl: 0.000 0.000 0.000
Tl: 0.000 0.500 0.500
Hg: 0.000 0.367 0.867
Hg: 0.000 0.867 0.633
Hg: 0.000 0.633 0.133
Hg: 0.000 0.133 0.367

Raw total energy in eV per atom: -57.056
Size of the total moment in μB per cell: 0.0
Space-group type: P4/mbm, No. 127
Energy of formation from the pure elements in kJ/mol of formula units: -93

12.
VASP calculation (SCAN) on a PBEsol-optimized structure of WSe2Cl.

a b c (Å): 2.806 2.806 11.633
angles (deg): 83.07 83.07 60.00
Fractional positions:
Se: 0.926 0.926 0.223
Se: 0.074 0.074 0.777
W: 0.000 0.000 0.000
Cl: 0.500 0.500 0.500

Raw total energy in eV per atom: -28.854
Size of the total moment in μB per cell: 0.0
Uncorrected formation energy in meV per atom: 602.0
Space-group type: R-3m, No. 166
Distance to the lowest polymorph of the same formula in eV per formula unit: 0.000

13.
VASP calculation (SCAN) on a PBEsol-optimized structure of AsWBr2F.

a b c (Å): 4.845 4.897 4.897
angles (deg): 90.00 90.00 90.00
Fractional positions:
As: 0.500 0.000 0.000
Br: 0.000 0.000 0.500
Br: 0.000 0.500 0.000
W: 0.000 0.000 0.000
F: 0.500 0.500 0.500

Raw total energy in eV per atom: -26.266
Size of the total moment in μB per cell: 0.0
Uncorrected formation energy in meV per atom: 201.2
Space-group type: P4/mmm, No. 123

14.
VASP calculation (SCAN) on a PBEsol-optimized structure of NiSbTe2W.

a b c (Å): 5.165 5.165 5.200
angles (deg): 90.00 90.00 90.00
Site moments in Bohr magnetons follow the coordinates.
Fractional positions:
Sb: 0.000 0.000 0.500  0.01
Te: 0.000 0.500 0.000  0.08
Te: 0.500 0.000 0.000  0.08
W: 0.000 0.000 0.000  -0.14
Ni: 0.500 0.500 0.500  1.27

Raw total energy in eV per atom: -38.334
Size of the total moment in μB per cell: 1.4
Uncorrected formation energy in meV per atom: 1190.7
Space-group type: P4/mmm, No. 123

15.
VASP calculation (SCAN) on a PBEsol-optimized structure of YMn2Te.

a b c (Å): 3.495 3.495 6.486
angles (deg): 90.00 90.00 90.00
Site moments in Bohr magnetons follow the coordinates.
Fractional positions:
Mn: 0.000 0.000 0.043  3.77
Mn: 0.500 0.500 0.230  3.93
Te: 0.000 0.000 0.455  0.03
Y: 0.500 0.500 0.772  -0.20

Raw total energy in eV per atom: -25.684
Size of the total moment in μB per cell: 7.7
Uncorrected formation energy in meV per atom: -283.1
Space-group type: P4mm, No. 99

16.
VASP calculation (SCAN) on a PBEsol-optimized structure of SrCaCu2.

a b c (Å): 4.215 4.248 5.929
angles (deg): 90.01 110.82 90.00
Fractional positions:
Sr: 0.520 0.376 0.040
Ca: 0.239 0.876 0.478
Cu: 0.926 0.874 0.853
Cu: 0.815 0.374 0.630

Raw total energy in eV per atom: -15.669
Size of the total moment in μB per cell: 0.0
Space-group type: Cm, No. 8
Distance to the lowest polymorph of the same formula in eV per formula unit: 0.000
Energy of formation from the pure elements in kJ/mol of formula units: -32

17.
VASP calculation (SCAN) on a PBEsol-optimized structure of K2NaAl3F12.

a b c (Å): 6.991 11.201 11.894
angles (deg): 90.00 90.00 90.00
Fractional positions:
K: 0.250 0.445 0.607
K: 0.250 0.945 0.893
K: 0.750 0.555 0.393
K: 0.750 0.055 0.107
K: 0.250 0.541 0.926
K: 0.250 0.041 0.574
K: 0.750 0.459 0.074
K: 0.750 0.959 0.426
Na: 0.750 0.014 0.727
Na: 0.750 0.514 0.773
Na: 0.250 0.986 0.273
Na: 0.250 0.486 0.227
Al: 0.500 0.748 0.670
Al: 0.000 0.248 0.830
Al: 0.000 0.252 0.330
Al: 0.500 0.752 0.170
Al: 0.500 0.252 0.330
Al: 0.000 0.752 0.170
Al: 0.000 0.748 0.670
Al: 0.500 0.248 0.830
Al: 0.750 0.796 0.921
Al: 0.750 0.296 0.579
Al: 0.250 0.204 0.079
Al: 0.250 0.704 0.421
F: 0.439 0.695 0.528
F: 0.061 0.195 0.972
F: 0.939 0.305 0.472
F: 0.561 0.805 0.028
F: 0.561 0.305 0.472
F: 0.939 0.805 0.028
F: 0.061 0.695 0.528
F: 0.439 0.195 0.972
F: 0.250 0.793 0.698
F: 0.250 0.293 0.802
F: 0.750 0.207 0.302
F: 0.750 0.707 0.198
F: 0.456 0.604 0.724
F: 0.044 0.104 0.776
F: 0.956 0.396 0.276
F: 0.544 0.896 0.224
F: 0.544 0.396 0.276
F: 0.956 0.896 0.224
F: 0.044 0.604 0.724
F: 0.456 0.104 0.776
F: 0.750 0.705 0.645
F: 0.750 0.205 0.855
F: 0.250 0.295 0.355
F: 0.250 0.795 0.145
F: 0.545 0.893 0.618
F: 0.955 0.393 0.882
F: 0.045 0.107 0.382
F: 0.455 0.607 0.118
F: 0.455 0.107 0.382
F: 0.045 0.607 0.118
F: 0.955 0.893 0.618
F: 0.545 0.393 0.882
F: 0.560 0.800 0.813
F: 0.940 0.300 0.687
F: 0.060 0.200 0.187
F: 0.440 0.700 0.313
F: 0.440 0.200 0.187
F: 0.060 0.700 0.313
F: 0.940 0.800 0.813
F: 0.560 0.300 0.687
F: 0.750 0.641 0.922
F: 0.750 0.141 0.578
F: 0.250 0.359 0.078
F: 0.250 0.859 0.422
F: 0.750 0.954 0.915
F: 0.750 0.454 0.585
F: 0.250 0.046 0.085
F: 0.250 0.546 0.415

Raw total energy in eV per atom: -8.427
Size of the total moment in μB per cell: 1.0
Uncorrected formation energy in meV per atom: -3615.4
Space-group type: Pnma, No. 62

18.
VASP calculation (SCAN) on a PBEsol-optimized structure of Sr3NiO.

a b c (Å): 5.411 5.411 5.411
angles (deg): 90.00 90.00 90.00
Fractional positions:
Sr: 0.000 0.500 0.000
Sr: 0.000 0.000 0.500
Sr: 0.500 0.000 0.000
O: 0.500 0.500 0.500
Ni: 0.000 0.000 0.000

Raw total energy in eV per atom: -17.742
Size of the total moment in μB per cell: 0.0
Uncorrected formation energy in meV per atom: 104.0
Space-group type: Pm-3m, No. 221

19.
VASP calculation (SCAN) on a PBEsol-optimized structure of AsP2SF.

a b c (Å): 4.579 4.686 4.686
angles (deg): 90.00 90.00 90.00
Fractional positions:
P: 0.000 0.000 0.500
P: 0.000 0.500 0.000
As: 0.000 0.000 0.000
S: 0.500 0.000 0.000
F: 0.500 0.500 0.500

Raw total energy in eV per atom: -9.912
Size of the total moment in μB per cell: 0.0
Uncorrected formation energy in meV per atom: 919.5
Space-group type: P4/mmm, No. 123

20.
VASP calculation (SCAN) on a PBEsol-optimized structure of AlRu2Cl.

a b c (Å): 2.831 2.831 8.113
angles (deg): 79.95 79.95 60.00
Fractional positions:
Ru: 0.251 0.251 0.246
Ru: 0.749 0.749 0.754
Al: 0.500 0.500 0.500
Cl: 0.000 0.000 0.000

Raw total energy in eV per atom: -21.268
Size of the total moment in μB per cell: 0.0
Uncorrected formation energy in meV per atom: 77.8
Space-group type: R-3m, No. 166
Distance to the lowest polymorph of the same formula in eV per formula unit: 0.304

21.
VASP calculation (SCAN) on a PBEsol-optimized structure of Hg2PtAu.

a b c (Å): 2.951 2.951 8.259
angles (deg): 90.00 90.00 90.00
Fractional positions:
Au: 0.500 0.500 0.500
Hg: 0.000 0.000 0.760
Hg: 0.000 0.000 0.240
Pt: 0.500 0.500 0.000

Raw total energy in eV per atom: -68.795
Size of the total moment in μB per cell: 0.0
Space-group type: P4/mmm, No. 123
Distance to the lowest polymorph of the same formula in eV per formula unit: 0.000
Energy of formation from the pure elements in kJ/mol of formula units: 48

22.
VASP calculation (SCAN) on a PBEsol-optimized structure of Mn2ZnS4.

a b c (Å): 6.812 6.812 6.812
angles (deg): 60.00 60.00 60.00
Site moments in Bohr magnetons follow the coordinates.
Fractional positions:
Mn: 0.125 0.125 0.125  1.97
Mn: 0.125 0.125 0.625  1.97
Mn: 0.125 0.625 0.125  1.97
Mn: 0.625 0.125 0.125  1.97
Zn: 0.750 0.750 0.750  -0.01
Zn: 0.500 0.500 0.500  -0.01
S: 0.887 0.887 0.887  0.00
S: 0.887 0.887 0.340  0.00
S: 0.887 0.340 0.887  0.00
S: 0.340 0.887 0.887  0.00
S: 0.363 0.363 0.363  0.00
S: 0.363 0.363 0.910  0.00
S: 0.363 0.910 0.363  0.00
S: 0.910 0.363 0.363  0.00

Raw total energy in eV per atom: -13.479
Size of the total moment in μB per cell: 8.0
Uncorrected formation energy in meV per atom: -830.7
Space-group type: Fd-3m, No. 227

23.
VASP calculation (SCAN) on a PBEsol-optimized structure of SiAg3Mo.

a b c (Å): 4.629 4.629 4.629
angles (deg): 90.00 90.00 90.00
Site moments in Bohr magnetons follow the coordinates.
Fractional positions:
Mo: 0.500 0.500 0.500  3.86
Si: 0.000 0.000 0.000  -0.01
Ag: 0.000 0.500 0.000  -0.01
Ag: 0.000 0.000 0.500  -0.01
Ag: 0.500 0.000 0.000  -0.01

Raw total energy in eV per atom: -26.824
Size of the total moment in μB per cell: 4.3
Uncorrected formation energy in meV per atom: 976.9
Space-group type: Pm-3m, No. 221